Computed, not measured: a relaxed structure of ScMnSb2Te at the GGA-PBE level of DFT.

Summary:
VASP energy, Ha/atom: -0.188
Uncorrected formation energy, eV per formula unit: 1.31
Density of states at the Fermi level, states/eV per atom: 0.946

Structure (POSCAR):
```
ScMnSb2Te
1.0
-0.261 -3.951 2.682
-1.388 -2.507 -3.829
5.479 -1.184 -1.211
Sc Mn Sb Te
1 1 2 1
Cartesian
1.915 -3.821 -1.179 Sc
0.000 0.000 0.000 Mn
-0.131 -1.976 1.341 Sb
-0.694 -1.254 -1.915 Sb
2.739 -0.592 -0.605 Te
```